(1)
This record from Alexandria via LeMat-Bulk describes a geometry-optimized CsTlHSeF structure. The functional is PBE-GGA.

a b c (Å): 4.407 4.470 8.478
angles (deg): 104.11 93.58 114.34
Element x y z (fractional)
Cs  0.000  0.000  0.000
Tl  0.264  0.328  0.600
H  0.566  0.759  0.339
Se  0.780  0.579  0.356
F  0.592  0.252  0.836

E ... -3.535 eV per atom
Symmetry ... P1 (1)


(2)
This record from Alexandria via LeMat-Bulk describes a geometry-optimized CsMgTl2Pd structure. The functional is PBE-GGA.

a b c (Å): 5.503 5.503 5.308
angles (deg): 90.00 90.00 90.00
Element x y z (fractional)
Cs  0.000  0.000  0.000
Mg  0.500  0.500  0.000
Tl  0.000  0.500  0.500
Tl  0.500  0.000  0.500
Pd  0.500  0.500  0.500

Symmetry ... P4/mmm (123)
DFT formation energy ... -0.54 eV/f.u.